# Li2TlRe (PBE, optimized geometry)
data_Li2TlRe
_chemical_formula_sum 'Li2 Tl1 Re1'
_cell_length_a 2.829
_cell_length_b 4.781
_cell_length_c 5.020
_cell_angle_alpha 90.00
_cell_angle_beta 92.49
_cell_angle_gamma 90.00
_symmetry_space_group_name_H-M 'P 1 2/m 1'
_symmetry_Int_Tables_number 10
_symmetry_space_group_name_Hall '-P 2y'
loop_
_atom_site_label
_atom_site_type_symbol
_atom_site_fract_x
_atom_site_fract_y
_atom_site_fract_z
Li1 Li 0.209 0.000 0.210
Tl1 Tl 0.000 0.500 0.500
Re1 Re 0.500 0.500 0.000
# Total moment ... 0.00 μB per cell
# Excess energy over the best structure of this formula in the dataset ... 84 meV per atom
# Energy relative to the elements ... 432 meV per atom
# Crystal system ... monoclinic